{
  "formula": "Dy3Zn2Cd3",
  "functional": "PBE-GGA",
  "state": "relaxed",
  "lattice_angstrom": [[7.595, 0.000, 0.000], [-3.798, 6.578, 0.000], [0.000, 0.000, 3.804]],
  "species": ["Dy", "Dy", "Dy", "Zn", "Zn", "Cd", "Cd", "Cd"],
  "frac_coords": [[0.000, 0.595, 0.000], [0.405, 0.405, 0.000], [0.595, 0.000, 0.000], [0.333, 0.667, 0.500], [0.667, 0.333, 0.500], [0.000, 0.236, 0.500], [0.236, 0.000, 0.500], [0.764, 0.764, 0.500]],
  "total_magnetization_mub_per_cell": 0.0,
  "density_g_cm3": 8.349,
  "e_form_ev_per_atom": -0.299
}